A plane-wave DFT calculation with PBE was carried out for a geometry-optimized UZn2In structure.

a = 2.965 Å, b = 2.965 Å, c = 9.000 Å
α = 90.00°, β = 90.00°, γ = 90.00°
Element x y z (fractional)
U1 0.000 0.000 0.000
Zn1 0.500 0.500 0.253
Zn2 0.500 0.500 0.747
In1 0.000 0.000 0.500

Results
Electronic total energy, Ha/atom: -0.1466


A plane-wave DFT calculation with PBE was carried out for a geometry-optimized La3ZrAs4 structure.

a = 7.337 Å, b = 7.337 Å, c = 4.227 Å
α = 90.00°, β = 90.00°, γ = 109.17°
Element x y z (fractional)
La1 0.000 0.000 0.000
La2 0.000 0.500 0.500
La3 0.500 0.000 0.500
Zr1 0.500 0.500 0.000
As1 0.262 0.738 0.000
As2 0.271 0.271 0.500
As3 0.729 0.729 0.500
As4 0.738 0.262 0.000

Results
Electronic total energy, Ha/atom: -0.2451


A plane-wave DFT calculation with PBE was carried out for a geometry-optimized LiCoAu structure.

a = 4.638 Å, b = 4.638 Å, c = 4.638 Å
α = 146.45°, β = 129.34°, γ = 62.14°
Element x y z (fractional)
Li1 0.000 0.000 0.000
Co1 0.331 0.331 0.000
Au1 0.667 0.667 0.000

Results
Energy relative to the lowest polymorph listed for this composition, eV per atom: 0.000
Electronic total energy, Ha/atom: -0.1492


A plane-wave DFT calculation with PBE was carried out for a geometry-optimized Er4ZnCuAu2 structure.

a = 8.662 Å, b = 8.662 Å, c = 8.662 Å
α = 33.55°, β = 33.55°, γ = 33.55°
Element x y z (fractional)
Er1 0.123 0.123 0.123
Er2 0.373 0.373 0.373
Er3 0.627 0.627 0.627
Er4 0.877 0.877 0.877
Zn1 0.500 0.500 0.500
Cu1 0.000 0.000 0.000
Au1 0.247 0.247 0.247
Au2 0.753 0.753 0.753

Results
Electronic total energy, Ha/atom: -0.1604


A plane-wave DFT calculation with PBE was carried out for a geometry-optimized Tb8FeHg2 structure.

a = 9.133 Å, b = 9.133 Å, c = 6.843 Å
α = 108.05°, β = 108.05°, γ = 33.93°
Element x y z (fractional)
Tb1 0.021 0.021 0.288
Tb2 0.199 0.199 0.792
Tb3 0.351 0.351 0.548
Tb4 0.411 0.411 0.081
Tb5 0.589 0.589 0.919
Tb6 0.649 0.649 0.452
Tb7 0.801 0.801 0.208
Tb8 0.979 0.979 0.712
Fe1 0.500 0.500 0.500
Hg1 0.184 0.184 0.215
Hg2 0.816 0.816 0.785

Results
Energy relative to the lowest polymorph listed for this composition, eV per atom: 0.000
Electronic total energy, Ha/atom: -0.1595


A plane-wave DFT calculation with PBE was carried out for a geometry-optimized FeTc3W structure.

a = 4.642 Å, b = 4.642 Å, c = 4.642 Å
α = 90.00°, β = 90.00°, γ = 90.00°
Element x y z (fractional)
Fe1 0.000 0.000 0.000
Tc1 0.000 0.500 0.500
Tc2 0.500 0.000 0.500
Tc3 0.500 0.500 0.000
W1 0.500 0.500 0.500

Results
Energy relative to the lowest polymorph listed for this composition, eV per atom: 0.860
Electronic total energy, Ha/atom: -0.3045


The calculation returns the following DFT formation energy values, one per record and in order: 0.15 -1.43 0.04 -0.59 -0.15 2.22 eV/atom.